[1]
## LiTiGaRe2 (GGA-PBEsol)

Data for LiTiGaRe2 after structural relaxation.

abc: 4.1725 4.1725 4.0469
angles: 90.00 90.00 90.00
Fractional coordinates of all 5 atoms:
Li (0.0000, 0.0000, 0.0000)
Ti (0.0000, 0.0000, 0.5000)
Ga (0.5000, 0.5000, 0.5000)
Re (0.0000, 0.5000, 0.0000)
Re (0.5000, 0.0000, 0.0000)

Results
Its space group is P4/mmm. The value obtained for the formation energy is 1.030 eV per atom.

***

[2]
## Li2GaRh (GGA-PBEsol)

Data for Li2GaRh after structural relaxation.

abc: 3.5201 3.5201 18.6682
angles: 90.00 90.00 90.00
Fractional coordinates of all 16 atoms:
Li (0.2400, 0.2500, 0.1250)
Li (0.2500, 0.7400, 0.3750)
Li (0.2500, 0.7600, 0.8750)
Li (0.2600, 0.2500, 0.6250)
Li (0.7400, 0.7500, 0.6250)
Li (0.7500, 0.2400, 0.8750)
Li (0.7500, 0.2600, 0.3750)
Li (0.7600, 0.7500, 0.1250)
Ga (0.0000, 0.0000, 0.5000)
Ga (0.0000, 0.5000, 0.7500)
Ga (0.5000, 0.0000, 0.2500)
Ga (0.5000, 0.5000, 0.0000)
Rh (0.0000, 0.0000, 0.0000)
Rh (0.0000, 0.5000, 0.2500)
Rh (0.5000, 0.0000, 0.7500)
Rh (0.5000, 0.5000, 0.5000)

Results
Its space group is I-42d. The value obtained for the formation energy is -0.208 eV per atom.